Record 1
First-principles (SCAN) data for a PBEsol-optimized structure of Zr2FeOs, as listed in the Alexandria database.

Results
Crystal system ... cubic
Formation energy from the elements ... -478 meV per atom
Total magnetic moment ... 0.450 μB/cell
Density ... 10.91 g cm⁻³

abc: 4.518 4.518 4.518
angles: 60.00 60.00 60.00
Positions (direct):
Zr: 0.250 0.250 0.250
Zr: 0.750 0.750 0.750
Fe: 0.000 0.000 0.000
Os: 0.500 0.500 0.500


Record 2
First-principles (SCAN) data for a PBEsol-optimized structure of Mg2AsPt, as listed in the Alexandria database.

Results
Crystal system ... tetragonal
Formation energy from the elements ... -676 meV per atom
Total magnetic moment ... 0.000 μB/cell
Density ... 7.76 g cm⁻³

abc: 3.004 3.004 7.555
angles: 90.00 90.00 90.00
Positions (direct):
Mg: 0.000 0.000 0.227
Mg: 0.000 0.000 0.773
As: 0.500 0.500 0.500
Pt: 0.500 0.500 0.000


Record 3
First-principles (SCAN) data for a PBEsol-optimized structure of RbAlS2, as listed in the Alexandria database.

Results
Crystal system ... tetragonal
Total magnetic moment ... 0.000 μB/cell
Uncorrected formation energy ... -5.9 eV/f.u.
Density ... 2.83 g cm⁻³

abc: 6.515 6.515 6.515
angles: 115.12 115.12 98.68
Positions (direct):
Rb: 0.000 0.000 0.000
Rb: 0.750 0.250 0.500
Al: 0.250 0.750 0.500
Al: 0.500 0.500 0.000
S: 0.236 0.625 0.111
S: 0.375 0.486 0.611
S: 0.514 0.125 0.889
S: 0.875 0.764 0.389


Record 4
First-principles (SCAN) data for a PBEsol-optimized structure of LiCr2Ru, as listed in the Alexandria database.

Results
Crystal system ... monoclinic
Formation energy from the elements ... 300 meV per atom
Total magnetic moment ... 0.002 μB/cell
Density ... 7.48 g cm⁻³

abc: 2.473 3.982 4.837
angles: 90.00 98.74 90.00
Positions (direct):
Li: 0.000 0.000 0.000
Cr: 0.246 0.500 0.749
Cr: 0.475 0.000 0.507
Ru: 0.700 0.500 0.243


Record 5
First-principles (SCAN) data for a PBEsol-optimized structure of SrLaZn4, as listed in the Alexandria database.

Results
Crystal system ... cubic
Formation energy from the elements ... -275 meV per atom
Total magnetic moment ... 0.000 μB/cell
Density ... 6.52 g cm⁻³

abc: 5.602 5.602 5.602
angles: 60.00 60.00 60.00
Positions (direct):
Sr: 0.000 0.000 0.000
La: 0.750 0.750 0.750
Zn: 0.376 0.376 0.376
Zn: 0.376 0.376 0.871
Zn: 0.376 0.871 0.376
Zn: 0.871 0.376 0.376


Record 6
First-principles (SCAN) data for a PBEsol-optimized structure of CaTlP, as listed in the Alexandria database.

Results
Crystal system ... tetragonal
Formation energy from the elements ... -475 meV per atom
Total magnetic moment ... 0.000 μB/cell
Density ... 4.81 g cm⁻³

abc: 6.582 6.582 6.582
angles: 144.64 144.64 50.87
Positions (direct):
Ca: 0.000 0.000 0.000
Tl: 0.734 0.734 0.000
P: 0.519 0.519 0.000


Record 7
First-principles (SCAN) data for a PBEsol-optimized structure of Li2BeRu, as listed in the Alexandria database.

Results
Crystal system ... orthorhombic
Formation energy from the elements ... 55 meV per atom
Total magnetic moment ... 0.067 μB/cell
Density ... 4.14 g cm⁻³

abc: 2.503 3.677 5.402
angles: 90.00 90.00 90.00
Positions (direct):
Li: 0.000 0.000 0.000
Li: 0.500 0.500 0.267
Be: 0.500 0.500 0.700
Ru: 0.000 0.000 0.537


Record 8
First-principles (SCAN) data for a PBEsol-optimized structure of InTe2Cl, as listed in the Alexandria database.

Results
Crystal system ... tetragonal
Total magnetic moment ... 0.000 μB/cell
Uncorrected formation energy ... -0.4 eV/f.u.
Density ... 6.37 g cm⁻³

abc: 3.835 3.835 7.186
angles: 90.00 90.00 90.00
Positions (direct):
In: 0.000 0.000 0.000
Te: 0.500 0.500 0.207
Te: 0.500 0.500 0.793
Cl: 0.000 0.000 0.500